Crystalline LiTiCl3 at its relaxed geometry, computed with GGA-PBEsol.

* formation energy from raw total energies: -1266 meV per atom
* total DFT energy (no corrections): -4.528 eV/atom

The structure in CIF format:
```
data_LiTiCl3
_chemical_formula_sum 'Li1 Ti1 Cl3'
_symmetry_space_group_name_H-M 'P m -3 m'
_symmetry_Int_Tables_number 221
_symmetry_space_group_name_Hall '-P 4 2 3'
_cell_length_a 4.879
_cell_length_b 4.879
_cell_length_c 4.879
_cell_angle_alpha 90.00
_cell_angle_beta 90.00
_cell_angle_gamma 90.00
loop_
_atom_site_label
_atom_site_fract_x
_atom_site_fract_y
_atom_site_fract_z
Li1 0.000 0.000 0.000
Ti1 0.500 0.500 0.500
Cl1 0.000 0.500 0.500
```

=====

Crystalline CrAs2Cl at its relaxed geometry, computed with GGA-PBEsol.

* formation energy from raw total energies: 388 meV per atom
* E above lowest polymorph: 528 meV per atom
* total DFT energy (no corrections): -5.227 eV/atom

The structure in CIF format:
```
data_CrAs2Cl
_chemical_formula_sum 'Cr4 As8 Cl4'
_symmetry_space_group_name_H-M 'F -4 3 m'
_symmetry_Int_Tables_number 216
_symmetry_space_group_name_Hall 'F -4 2 3'
_cell_length_a 6.564
_cell_length_b 6.564
_cell_length_c 6.564
_cell_angle_alpha 90.00
_cell_angle_beta 90.00
_cell_angle_gamma 90.00
loop_
_atom_site_label
_atom_site_fract_x
_atom_site_fract_y
_atom_site_fract_z
Cr1 0.000 0.000 0.000
As1 0.000 0.000 0.500
As2 0.250 0.250 0.750
Cl1 0.250 0.250 0.250
```

=====

Crystalline La4SeCl at its relaxed geometry, computed with GGA-PBEsol.

* formation energy from raw total energies: -199 meV per atom
* total DFT energy (no corrections): -4.739 eV/atom

The structure in CIF format:
```
data_La4SeCl
_chemical_formula_sum 'La16 Se4 Cl4'
_symmetry_space_group_name_H-M 'F -4 3 m'
_symmetry_Int_Tables_number 216
_symmetry_space_group_name_Hall 'F -4 2 3'
_cell_length_a 8.870
_cell_length_b 8.870
_cell_length_c 8.870
_cell_angle_alpha 90.00
_cell_angle_beta 90.00
_cell_angle_gamma 90.00
loop_
_atom_site_label
_atom_site_fract_x
_atom_site_fract_y
_atom_site_fract_z
La1 0.124 0.124 0.376
Se1 0.250 0.250 0.750
Cl1 0.000 0.000 0.000
```

=====

Crystalline ZnInIr2 at its relaxed geometry, computed with GGA-PBEsol.

* total DFT energy (no corrections): -6.016 eV/atom

The structure in CIF format:
```
data_ZnInIr2
_chemical_formula_sum 'Zn1 In1 Ir2'
_symmetry_space_group_name_H-M 'P m m 2'
_symmetry_Int_Tables_number 25
_symmetry_space_group_name_Hall 'P 2 -2'
_cell_length_a 2.820
_cell_length_b 3.842
_cell_length_c 5.652
_cell_angle_alpha 90.00
_cell_angle_beta 90.00
_cell_angle_gamma 90.00
loop_
_atom_site_label
_atom_site_fract_x
_atom_site_fract_y
_atom_site_fract_z
Zn1 0.000 0.000 0.000
In1 0.500 0.500 0.293
Ir1 0.000 0.000 0.538
Ir2 0.500 0.500 0.803
```

=====

Crystalline Ce2Ga5Au3 at its relaxed geometry, computed with GGA-PBEsol.

* total DFT energy (no corrections): -4.641 eV/atom

The structure in CIF format:
```
data_Ce2Ga5Au3
_chemical_formula_sum 'Ce2 Ga5 Au3'
_symmetry_space_group_name_H-M 'P -4 m 2'
_symmetry_Int_Tables_number 115
_symmetry_space_group_name_Hall 'P -4 -2'
_cell_length_a 4.201
_cell_length_b 4.201
_cell_length_c 11.160
_cell_angle_alpha 90.00
_cell_angle_beta 90.00
_cell_angle_gamma 90.00
loop_
_atom_site_label
_atom_site_fract_x
_atom_site_fract_y
_atom_site_fract_z
Ce1 0.000 0.500 0.246
Ga1 0.000 0.000 0.000
Ga2 0.000 0.000 0.500
Ga3 0.000 0.500 0.870
Ga4 0.500 0.500 0.000
Au1 0.000 0.500 0.652
Au2 0.500 0.500 0.500
```

=====

Crystalline Mg4Ag5 at its relaxed geometry, computed with GGA-PBEsol.

* E above lowest polymorph: 4 meV per atom
* total DFT energy (no corrections): -2.771 eV/atom

The structure in CIF format:
```
data_Mg4Ag5
_chemical_formula_sum 'Mg8 Ag10'
_symmetry_space_group_name_H-M 'I 4/m m m'
_symmetry_Int_Tables_number 139
_symmetry_space_group_name_Hall '-I 4 2'
_cell_length_a 8.693
_cell_length_b 8.693
_cell_length_c 4.266
_cell_angle_alpha 90.00
_cell_angle_beta 90.00
_cell_angle_gamma 90.00
loop_
_atom_site_label
_atom_site_fract_x
_atom_site_fract_y
_atom_site_fract_z
Mg1 0.000 0.315 0.000
Ag1 0.000 0.000 0.000
Ag2 0.167 0.167 0.500
```